[1]
The following is a PBE calculation of a relaxed SmBeSi2Pd crystal, from Alexandria via LeMat-Bulk.

a = 4.0149 Å, b = 4.0149 Å, c = 5.8278 Å
α = 110.15°, β = 110.15°, γ = 90.00°
Last column: nearest neighbours and their distance in Å.
Atoms (fractional coordinates):
Si  0.3821  0.3821  0.7641  1 Si 2.40, 2 Be 2.42, 2 Pd 2.42
Si  0.6179  0.6179  0.2359  1 Si 2.40, 2 Pd 2.42, 2 Be 2.42
Be  0.7500  0.2500  0.5000  4 Si 2.42
Pd  0.2500  0.7500  0.5000  4 Si 2.42
Sm  0.0000  0.0000  0.0000  8 Si 3.08, 4 Be 3.24, 4 Pd 3.24

Results
raw total energy: -0.413 Ry/atom
mass density: 6.5 Mg/m³
space-group type: No. 119
uncorrected formation energy: -0.721 eV per atom



[2]
The following is a PBE calculation of a relaxed BeSiSnPd2 crystal, from Alexandria via LeMat-Bulk.

a = 4.9993 Å, b = 4.4044 Å, c = 4.9993 Å
α = 90.00°, β = 90.00°, γ = 90.00°
Last column: nearest neighbours and their distance in Å.
Atoms (fractional coordinates):
Si  0.5000  0.5000  0.5000  8 Pd 3.33, 4 Be 3.54
Pd  0.0000  0.0000  0.5000  2 Sn 2.50
Pd  0.5000  0.0000  0.0000  2 Sn 2.50
Sn  0.0000  0.0000  0.0000  2 Be 2.20
Be  0.0000  0.5000  0.0000  2 Sn 2.20

Results
raw total energy: -0.282 Ry/atom
mass density: 5.6 Mg/m³
space-group type: No. 123
uncorrected formation energy: 0.867 eV per atom



[3]
The following is a PBE calculation of a relaxed BeSiSn2Pd crystal, from Alexandria via LeMat-Bulk.

a = 5.2117 Å, b = 4.5447 Å, c = 5.2117 Å
α = 90.00°, β = 90.00°, γ = 90.00°
Last column: nearest neighbours and their distance in Å.
Atoms (fractional coordinates):
Pd  0.0000  0.5000  0.0000  2 Si 2.27
Be  0.5000  0.5000  0.5000  8 Sn 3.46, 4 Pd 3.69
Si  0.0000  0.0000  0.0000  2 Pd 2.27
Sn  0.0000  0.0000  0.5000  2 Si 2.61
Sn  0.5000  0.0000  0.0000  2 Si 2.61

Results
raw total energy: -0.273 Ry/atom
mass density: 5.1 Mg/m³
space-group type: No. 123
uncorrected formation energy: 0.761 eV per atom



[4]
The following is a PBE calculation of a relaxed SrBeSi2Pd crystal, from Alexandria via LeMat-Bulk.

a = 4.1460 Å, b = 4.1460 Å, c = 5.8976 Å
α = 110.58°, β = 110.58°, γ = 90.00°
Last column: nearest neighbours and their distance in Å.
Atoms (fractional coordinates):
Be  0.7500  0.2500  0.5000  4 Si 2.46
Sr  0.0000  0.0000  0.0000  8 Si 3.18, 4 Pd 3.29, 4 Be 3.29
Si  0.3788  0.3788  0.7575  2 Be 2.46, 2 Pd 2.46, 1 Si 2.48
Si  0.6212  0.6212  0.2425  2 Pd 2.46, 2 Be 2.46, 1 Si 2.48
Pd  0.2500  0.7500  0.5000  4 Si 2.46

Results
raw total energy: -0.349 Ry/atom
mass density: 4.9 Mg/m³
space-group type: No. 119
uncorrected formation energy: -0.458 eV per atom



[5]
The following is a PBE calculation of a relaxed SrBe2SiPd crystal, from Alexandria via LeMat-Bulk.

a = 4.2383 Å, b = 6.0544 Å, c = 4.2383 Å
α = 90.00°, β = 90.00°, γ = 90.00°
Last column: nearest neighbours and their distance in Å.
Atoms (fractional coordinates):
Si  0.0000  0.0000  0.0000  4 Be 2.12
Be  0.5000  0.0000  0.0000  2 Si 2.12
Be  0.0000  0.0000  0.5000  2 Si 2.12
Pd  0.5000  0.5000  0.5000  4 Sr 3.00
Sr  0.0000  0.5000  0.0000  4 Pd 3.00, 2 Si 3.03

Results
raw total energy: -0.256 Ry/atom
mass density: 3.7 Mg/m³
space-group type: No. 123
uncorrected formation energy: 0.463 eV per atom



[6]
The following is a PBE calculation of a relaxed Sr2BeSiPd6 crystal, from Alexandria via LeMat-Bulk.

a = 6.3271 Å, b = 6.6608 Å, c = 6.6744 Å
α = 56.27°, β = 61.87°, γ = 89.92°
Last column: nearest neighbours and their distance in Å.
Atoms (fractional coordinates):
Si  0.0000  0.0000  0.0000  6 Pd 2.43
Pd  0.1879  0.2556  0.0681  1 Be 2.26, 1 Si 2.43
Pd  0.7444  0.8092  0.5128  1 Be 2.24, 1 Si 2.43
Pd  0.2556  0.1908  0.4872  1 Be 2.24, 1 Si 2.43
Pd  0.7431  0.2554  0.0690  1 Be 2.25, 1 Si 2.43
Pd  0.8121  0.7444  0.9319  1 Be 2.26, 1 Si 2.43
Pd  0.2569  0.7446  0.9310  1 Be 2.25, 1 Si 2.43
Sr  0.7217  0.2785  0.5565  12 Pd 3.27-3.41
Sr  0.2783  0.7215  0.4435  12 Pd 3.27-3.41
Be  0.5000  0.5000  0.0000  6 Pd 2.24-2.26

Results
raw total energy: -0.366 Ry/atom
mass density: 7.3 Mg/m³
space-group type: No. 2
uncorrected formation energy: -0.614 eV per atom



[7]
The following is a PBE calculation of a relaxed Tb2BeSiPd6 crystal, from Alexandria via LeMat-Bulk.

a = 5.8874 Å, b = 6.8262 Å, c = 5.7225 Å
α = 65.31°, β = 60.88°, γ = 88.51°
Last column: nearest neighbours and their distance in Å.
Atoms (fractional coordinates):
Pd  0.1726  0.6671  0.0883  1 Be 2.17, 1 Si 2.42
Pd  0.7173  0.7202  0.0426  1 Be 2.16
Pd  0.8274  0.3329  0.9117  1 Be 2.17, 1 Si 2.42
Pd  0.2827  0.2798  0.9574  1 Be 2.16
Pd  0.2801  0.2690  0.4746  1 Be 2.16
Pd  0.7199  0.7310  0.5254  1 Be 2.16
Tb  0.2512  0.8174  0.4714  8 Pd 2.94-3.22
Tb  0.7488  0.1826  0.5286  8 Pd 2.94-3.22
Si  0.0000  0.0000  0.0000  6 Pd 2.42
Be  0.5000  0.5000  0.0000  6 Pd 2.16-2.17

Results
raw total energy: -0.417 Ry/atom
mass density: 9.3 Mg/m³
space-group type: No. 2
uncorrected formation energy: -0.713 eV per atom



[8]
The following is a PBE calculation of a relaxed Tb3Be2SiPd9 crystal, from Alexandria via LeMat-Bulk.

a = 5.8996 Å, b = 5.8996 Å, c = 8.7269 Å
α = 90.00°, β = 90.00°, γ = 120.00°
Last column: nearest neighbours and their distance in Å.
Atoms (fractional coordinates):
Pd  0.0000  0.5000  0.0000  2 Be 2.17
Pd  0.3253  0.1626  0.6989  1 Be 2.17, 1 Si 2.40
Pd  0.1626  0.8374  0.3011  1 Be 2.17, 1 Si 2.40
Pd  0.8374  0.1626  0.6989  1 Be 2.17, 1 Si 2.40
Pd  0.1626  0.3253  0.3011  1 Be 2.17, 1 Si 2.40
Pd  0.5000  0.5000  0.0000  2 Be 2.17
Pd  0.8374  0.6747  0.6989  1 Be 2.17, 1 Si 2.40
Pd  0.5000  0.0000  0.0000  2 Be 2.17
Pd  0.6747  0.8374  0.3011  1 Be 2.17, 1 Si 2.40
Tb  0.3333  0.6667  0.6518  6 Pd 2.98
Tb  0.0000  0.0000  0.0000  12 Pd 2.95-3.11
Tb  0.6667  0.3333  0.3482  6 Pd 2.98
Be  0.3333  0.6667  0.1540  6 Pd 2.17
Be  0.6667  0.3333  0.8460  6 Pd 2.17
Si  0.0000  0.0000  0.5000  6 Pd 2.40

Results
raw total energy: -0.411 Ry/atom
mass density: 9.3 Mg/m³
space-group type: No. 164
uncorrected formation energy: -0.697 eV per atom



Which value of mass density does entry 5 give? 3.7 Mg/m³